# 1
# La2OsRu, optimized geometry, DFT GGA-PBE
data_La2OsRu
_cell_length_a 3.358
_cell_length_b 4.700
_cell_length_c 11.828
_cell_angle_alpha 90.00
_cell_angle_beta 90.00
_cell_angle_gamma 90.00
_space_group_name_H-M_alt 'I m m 2'
_space_group_IT_number 44
_space_group_name_Hall 'I 2 -2'
loop_
_atom_site_label
_atom_site_type_symbol
_atom_site_fract_x
_atom_site_fract_y
_atom_site_fract_z
La1 La 0.000 0.000 0.000
La2 La 0.000 0.500 0.220
Os1 Os 0.000 0.000 0.447
Ru1 Ru 0.000 0.500 0.778
# Energy above the most stable polymorph in this dataset = 168.2 meV/atom



# 2
# LaOsRu2, optimized geometry, DFT GGA-PBE
data_LaOsRu2
_cell_length_a 2.8506
_cell_length_b 2.8506
_cell_length_c 29.2912
_cell_angle_alpha 90.00
_cell_angle_beta 90.00
_cell_angle_gamma 120.00
_space_group_name_H-M_alt 'R -3 m'
_space_group_IT_number 166
_space_group_name_Hall '-R 3 2"'
loop_
_atom_site_label
_atom_site_type_symbol
_atom_site_fract_x
_atom_site_fract_y
_atom_site_fract_z
La1 La 0.0000 0.0000 0.0000
Os1 Os 0.0000 0.0000 0.5000
Ru1 Ru 0.0000 0.0000 0.2381
# Energy above the most stable polymorph in this dataset = 324.4 meV/atom



# 3
# LaOsRu2, optimized geometry, DFT GGA-PBE
data_LaOsRu2
_cell_length_a 2.8320
_cell_length_b 2.8320
_cell_length_c 29.6364
_cell_angle_alpha 90.00
_cell_angle_beta 90.00
_cell_angle_gamma 120.00
_space_group_name_H-M_alt 'R 3 m'
_space_group_IT_number 160
_space_group_name_Hall 'R 3 -2"'
loop_
_atom_site_label
_atom_site_type_symbol
_atom_site_fract_x
_atom_site_fract_y
_atom_site_fract_z
La1 La 0.0000 0.0000 0.0000
Os1 Os 0.0000 0.0000 0.2372
Ru1 Ru 0.0000 0.0000 0.4996
Ru2 Ru 0.0000 0.0000 0.7613
# Energy above the most stable polymorph in this dataset = 342.5 meV/atom



# 4
# LaOsRu2, optimized geometry, DFT GGA-PBE
data_LaOsRu2
_cell_length_a 6.600
_cell_length_b 6.600
_cell_length_c 6.600
_cell_angle_alpha 90.00
_cell_angle_beta 90.00
_cell_angle_gamma 90.00
_space_group_name_H-M_alt 'F -4 3 m'
_space_group_IT_number 216
_space_group_name_Hall 'F -4 2 3'
loop_
_atom_site_label
_atom_site_type_symbol
_atom_site_fract_x
_atom_site_fract_y
_atom_site_fract_z
La1 La 0.000 0.000 0.000
Os1 Os 0.250 0.250 0.750
Ru1 Ru 0.000 0.000 0.500
Ru2 Ru 0.250 0.250 0.250
# Energy above the most stable polymorph in this dataset = 349.3 meV/atom



# 5
# La2OsRu, optimized geometry, DFT GGA-PBE
data_La2OsRu
_cell_length_a 4.588
_cell_length_b 4.534
_cell_length_c 5.559
_cell_angle_alpha 90.00
_cell_angle_beta 114.29
_cell_angle_gamma 90.00
_space_group_name_H-M_alt 'P 1 m 1'
_space_group_IT_number 6
_space_group_name_Hall 'P -2y'
loop_
_atom_site_label
_atom_site_type_symbol
_atom_site_fract_x
_atom_site_fract_y
_atom_site_fract_z
La1 La 0.000 0.000 0.000
La2 La 0.293 0.500 0.586
Os1 Os 0.694 0.000 0.388
Ru1 Ru 0.605 0.500 0.210
# Energy above the most stable polymorph in this dataset = 0.0 meV/atom



# 6
## La2OsRu2 (GGA-PBE)

Data for a relaxed La2OsRu2 crystal.

Cell and atoms, written as CIF:
```
data_La2OsRu2
_cell_length_a 6.751
_cell_length_b 6.751
_cell_length_c 4.717
_cell_angle_alpha 90.00
_cell_angle_beta 90.00
_cell_angle_gamma 90.00
_space_group_name_H-M_alt 'P 4/m b m'
_space_group_IT_number 127
_space_group_name_Hall '-P 4 2ab'
loop_
_atom_site_label
_atom_site_type_symbol
_atom_site_fract_x
_atom_site_fract_y
_atom_site_fract_z
La1 La 0.180 0.320 0.000
Os1 Os 0.000 0.000 0.500
Ru1 Ru 0.148 0.648 0.500
```



# 7
# LaOsRu2, optimized geometry, DFT GGA-PBE
data_LaOsRu2
_cell_length_a 7.460
_cell_length_b 7.460
_cell_length_c 5.857
_cell_angle_alpha 90.00
_cell_angle_beta 90.00
_cell_angle_gamma 90.00
_space_group_name_H-M_alt 'I -4 2 d'
_space_group_IT_number 122
_space_group_name_Hall 'I -4 2bw'
loop_
_atom_site_label
_atom_site_type_symbol
_atom_site_fract_x
_atom_site_fract_y
_atom_site_fract_z
La1 La 0.000 0.000 0.000
Os1 Os 0.000 0.000 0.500
Ru1 Ru 0.188 0.750 0.625
# Energy above the most stable polymorph in this dataset = 221.3 meV/atom



# 8
## La2OsRu3 (GGA-PBE)

Data for a relaxed La2OsRu3 crystal.

Cell and atoms, written as CIF:
```
data_La2OsRu3
_cell_length_a 5.5277
_cell_length_b 5.5277
_cell_length_c 8.6413
_cell_angle_alpha 90.00
_cell_angle_beta 90.00
_cell_angle_gamma 120.00
_space_group_name_H-M_alt 'P 63/m m c'
_space_group_IT_number 194
_space_group_name_Hall '-P 6c 2c'
loop_
_atom_site_label
_atom_site_type_symbol
_atom_site_fract_x
_atom_site_fract_y
_atom_site_fract_z
La1 La 0.3333 0.6667 0.0664
Os1 Os 0.0000 0.0000 0.0000
Ru1 Ru 0.1684 0.3367 0.7500
```



# 9
# LaOsRu2, optimized geometry, DFT GGA-PBE
data_LaOsRu2
_cell_length_a 6.586
_cell_length_b 6.586
_cell_length_c 6.586
_cell_angle_alpha 90.00
_cell_angle_beta 90.00
_cell_angle_gamma 90.00
_space_group_name_H-M_alt 'F m -3 m'
_space_group_IT_number 225
_space_group_name_Hall '-F 4 2 3'
loop_
_atom_site_label
_atom_site_type_symbol
_atom_site_fract_x
_atom_site_fract_y
_atom_site_fract_z
La1 La 0.000 0.000 0.000
Os1 Os 0.000 0.000 0.500
Ru1 Ru 0.250 0.250 0.250
# Energy above the most stable polymorph in this dataset = 263.3 meV/atom



# 10
# LaOsRu, optimized geometry, DFT GGA-PBE
data_LaOsRu
_cell_length_a 6.332
_cell_length_b 6.332
_cell_length_c 6.332
_cell_angle_alpha 90.00
_cell_angle_beta 90.00
_cell_angle_gamma 90.00
_space_group_name_H-M_alt 'F -4 3 m'
_space_group_IT_number 216
_space_group_name_Hall 'F -4 2 3'
loop_
_atom_site_label
_atom_site_type_symbol
_atom_site_fract_x
_atom_site_fract_y
_atom_site_fract_z
La1 La 0.000 0.000 0.000
Os1 Os 0.250 0.250 0.250
Ru1 Ru 0.250 0.250 0.750
# Energy above the most stable polymorph in this dataset = 1415.0 meV/atom



# 11
# LaOsRu, optimized geometry, DFT GGA-PBE
data_LaOsRu
_cell_length_a 2.966
_cell_length_b 2.966
_cell_length_c 12.939
_cell_angle_alpha 90.00
_cell_angle_beta 90.00
_cell_angle_gamma 90.00
_space_group_name_H-M_alt 'I 4 m m'
_space_group_IT_number 107
_space_group_name_Hall 'I 4 -2'
loop_
_atom_site_label
_atom_site_type_symbol
_atom_site_fract_x
_atom_site_fract_y
_atom_site_fract_z
La1 La 0.000 0.000 0.000
Os1 Os 0.000 0.000 0.309
Ru1 Ru 0.000 0.000 0.692
# Energy above the most stable polymorph in this dataset = 349.3 meV/atom



# 12
# LaOsRu, optimized geometry, DFT GGA-PBE
data_LaOsRu
_cell_length_a 6.432
_cell_length_b 6.432
_cell_length_c 6.432
_cell_angle_alpha 90.00
_cell_angle_beta 90.00
_cell_angle_gamma 90.00
_space_group_name_H-M_alt 'F -4 3 m'
_space_group_IT_number 216
_space_group_name_Hall 'F -4 2 3'
loop_
_atom_site_label
_atom_site_type_symbol
_atom_site_fract_x
_atom_site_fract_y
_atom_site_fract_z
La1 La 0.000 0.000 0.000
Os1 Os 0.250 0.250 0.750
Ru1 Ru 0.000 0.000 0.500
# Energy above the most stable polymorph in this dataset = 727.9 meV/atom



Energy of formation per entry: 0.35; 2.37; 2.44; 2.47; -0.32; 0.14; 1.96; -0.71; 2.13; 3.92; 0.72; 1.86 eV per formula unit
Electronic total energy per entry: -7.503; -8.085; -8.067; -8.060; -7.671; -7.899; -8.188; -8.270; -8.146; -7.170; -8.236; -7.858 eV per atom